#a
## LaTbS2 (PBE-GGA)

Data for a relaxed structure of LaTbS2.

Unit cell a=4.0193 b=4.0193 c=7.0528 alpha=73.38 beta=73.38 gamma=60.16
Last column: nearest neighbours and their distance in Å.
Fractional positions:
S 0.7439 0.7439 0.7685  3 Tb 2.79, 3 La 2.93
S 0.2561 0.2561 0.2315  3 Tb 2.79, 3 La 2.93
La 0.5000 0.5000 0.5000  6 S 2.93
Tb 0.0000 0.0000 0.0000  6 S 2.79

* symmetry: C2/m, No. 12

=====

#b
## LaTbS2 (PBE-GGA)

Data for a relaxed structure of LaTbS2.

Unit cell a=3.9614 b=3.9614 c=7.3499 alpha=74.37 beta=74.37 gamma=60.00
Last column: nearest neighbours and their distance in Å.
Fractional positions:
Tb 0.6721 0.6721 0.9837  6 S 2.73-2.86
S 0.0766 0.0766 0.7702  3 Tb 2.73, 3 La 2.89
S 0.2567 0.2567 0.2300  3 Tb 2.86, 3 La 3.04
La 0.4946 0.4946 0.5161  6 S 2.89-3.04

* symmetry: R3m, No. 160

=====

Energies relative to the minimum, meV/atom: #a 0; #b 67

=====

#a
## LaTbS3 (PBE-GGA)

Data for a relaxed structure of LaTbS3.

Unit cell a=4.0253 b=7.9884 c=7.9310 alpha=94.77 beta=90.00 gamma=90.00
Last column: nearest neighbours and their distance in Å.
Fractional positions:
La 0.2500 0.3763 0.2288  8 S 2.86-3.16
La 0.7500 0.6237 0.7712  8 S 2.86-3.16
Tb 0.7500 0.1476 0.6743  6 S 2.65-2.81
Tb 0.2500 0.8524 0.3257  6 S 2.65-2.81
S 0.7500 0.6273 0.3868  2 Tb 2.77, 3 La 3.04-3.05
S 0.2500 0.9067 0.6800  3 Tb 2.79-2.81
S 0.2500 0.3727 0.6132  2 Tb 2.77, 3 La 3.04-3.05
S 0.7500 0.3184 0.9752  1 Tb 2.65, 2 La 2.86
S 0.2500 0.6816 0.0248  1 Tb 2.65, 2 La 2.86
S 0.7500 0.0933 0.3200  3 Tb 2.79-2.81

* symmetry: P2_1/m, No. 11

=====

#b
## LaTbS3 (PBE-GGA)

Data for a relaxed structure of LaTbS3.

Unit cell a=4.0685 b=7.4788 c=15.5045 alpha=90.00 beta=90.00 gamma=90.00
Last column: nearest neighbours and their distance in Å.
Fractional positions:
La 0.2500 0.6430 0.2994  8 S 2.86-3.18
La 0.7500 0.8570 0.7994  8 S 2.86-3.18
La 0.7500 0.3570 0.7006  8 S 2.86-3.18
La 0.2500 0.1430 0.2006  8 S 2.86-3.18
S 0.2500 0.1507 0.7842  1 Tb 2.81, 4 La 2.86-3.00
S 0.2500 0.5125 0.1042  3 Tb 2.77-2.93
S 0.7500 0.9875 0.6042  3 Tb 2.77-2.93
S 0.7500 0.1265 0.0612  3 Tb 2.82-2.97, 2 La 2.97
S 0.2500 0.3735 0.5612  3 Tb 2.82-2.97, 2 La 2.97
S 0.7500 0.6265 0.4388  3 Tb 2.82-2.97, 2 La 2.97
S 0.7500 0.8493 0.2158  1 Tb 2.81, 4 La 2.86-3.00
S 0.2500 0.0125 0.3958  3 Tb 2.77-2.93
S 0.7500 0.3493 0.2842  1 Tb 2.81, 4 La 2.86-3.00
S 0.2500 0.8735 0.9388  3 Tb 2.82-2.97, 2 La 2.97
S 0.7500 0.4875 0.8958  3 Tb 2.77-2.93
S 0.2500 0.6507 0.7158  1 Tb 2.81, 4 La 2.86-3.00
Tb 0.7500 0.7305 0.0438  7 S 2.77-2.97
Tb 0.2500 0.2695 0.9562  7 S 2.77-2.97
Tb 0.7500 0.2305 0.4562  7 S 2.77-2.97
Tb 0.2500 0.7695 0.5438  7 S 2.77-2.97

* symmetry: Pnma, No. 62

=====

Energies relative to the minimum, meV/atom: #a 25; #b 0

=====

#a
## LaTb2S4 (PBE-GGA)

Data for a relaxed structure of LaTb2S4.

Unit cell a=4.0075 b=11.2915 c=14.3240 alpha=90.00 beta=90.00 gamma=90.00
Last column: nearest neighbours and their distance in Å.
Fractional positions:
S 0.7500 0.3436 0.0144  4 Tb 2.82-3.07, 2 La 3.10
S 0.2500 0.9368 0.9100  3 Tb 2.73-2.81, 2 La 2.96
S 0.2500 0.4368 0.5900  3 Tb 2.73-2.81, 2 La 2.96
S 0.7500 0.2723 0.3048  3 Tb 2.67-2.78, 2 La 2.94
S 0.7500 0.0074 0.7163  3 Tb 2.70-2.92, 1 La 3.01
S 0.2500 0.2277 0.8048  3 Tb 2.67-2.78, 2 La 2.94
S 0.7500 0.8436 0.4856  4 Tb 2.82-3.07, 2 La 3.10
S 0.2500 0.1564 0.5144  4 Tb 2.82-3.07, 2 La 3.10
S 0.2500 0.4926 0.2163  3 Tb 2.70-2.92, 1 La 3.01
S 0.2500 0.9926 0.2837  3 Tb 2.70-2.92, 1 La 3.01
S 0.2500 0.7277 0.6952  3 Tb 2.67-2.78, 2 La 2.94
S 0.7500 0.0632 0.0900  3 Tb 2.73-2.81, 2 La 2.96
S 0.2500 0.6564 0.9856  4 Tb 2.82-3.07, 2 La 3.10
S 0.7500 0.5074 0.7837  3 Tb 2.70-2.92, 1 La 3.01
S 0.7500 0.7723 0.1952  3 Tb 2.67-2.78, 2 La 2.94
S 0.7500 0.5632 0.4100  3 Tb 2.73-2.81, 2 La 2.96
La 0.2500 0.2367 0.1569  7 S 2.94-3.10
La 0.7500 0.2633 0.6569  7 S 2.94-3.10
La 0.2500 0.7367 0.3431  7 S 2.94-3.10
La 0.7500 0.7633 0.8431  7 S 2.94-3.10
Tb 0.2500 0.9342 0.6038  6 S 2.67-2.82
Tb 0.2500 0.8891 0.0969  6 S 2.73-2.92
Tb 0.7500 0.0658 0.3962  6 S 2.67-2.82
Tb 0.7500 0.1109 0.9031  6 S 2.73-2.92
Tb 0.7500 0.5658 0.1038  6 S 2.67-2.82
Tb 0.2500 0.3891 0.4031  6 S 2.73-2.92
Tb 0.2500 0.4342 0.8962  6 S 2.67-2.82
Tb 0.7500 0.6109 0.5969  6 S 2.73-2.92

* symmetry: Pnma, No. 62

=====

#b
## LaTb2S4 (PBE-GGA)

Data for a relaxed structure of LaTb2S4.

Unit cell a=3.9306 b=6.8149 c=13.2880 alpha=90.00 beta=90.00 gamma=106.76
Last column: nearest neighbours and their distance in Å.
Fractional positions:
Tb 0.1303 0.2605 0.4335  6 S 2.71-2.79
Tb 0.1303 0.2605 0.0665  6 S 2.71-2.79
Tb 0.8697 0.7395 0.9335  6 S 2.71-2.79
Tb 0.8697 0.7395 0.5665  6 S 2.71-2.79
La 0.6218 0.2435 0.7500  6 S 2.88-2.96
La 0.3782 0.7565 0.2500  6 S 2.88-2.96
S 0.5000 0.0000 0.5000  4 Tb 2.74
S 0.2279 0.4559 0.6196  3 Tb 2.78-2.79, 2 La 2.96
S 0.2279 0.4559 0.8804  3 Tb 2.78-2.79, 2 La 2.96
S 0.9602 0.9203 0.7500  2 Tb 2.71, 2 La 2.88
S 0.0398 0.0797 0.2500  2 Tb 2.71, 2 La 2.88
S 0.5000 0.0000 0.0000  4 Tb 2.74
S 0.7721 0.5441 0.1196  3 Tb 2.78-2.79, 2 La 2.96
S 0.7721 0.5441 0.3804  3 Tb 2.78-2.79, 2 La 2.96

* symmetry: Cmcm, No. 63

=====

Energies relative to the minimum, meV/atom: #a 9; #b 0

=====

#a
## La2TcS2 (PBE-GGA)

Data for a relaxed structure of La2TcS2.

Unit cell a=5.7075 b=5.7075 c=5.6778 alpha=59.83 beta=59.83 gamma=90.00
Last column: nearest neighbours and their distance in Å.
Fractional positions:
S 0.2938 0.2938 0.4124  1 Tc 2.35
S 0.7062 0.7062 0.5876  1 Tc 2.35
La 0.7500 0.2500 0.5000  4 S 2.88
La 0.2500 0.7500 0.5000  4 S 2.88
Tc 0.0000 0.0000 0.0000  2 S 2.35

* symmetry: I4/mmm, No. 139

=====

#b
## La2TcS2 (PBE-GGA)

Data for a relaxed structure of La2TcS2.

Unit cell a=7.2333 b=7.2333 c=4.0716 alpha=90.00 beta=90.00 gamma=90.00
Last column: nearest neighbours and their distance in Å.
Fractional positions:
La 0.6616 0.8384 0.5000  6 S 2.77-3.06
La 0.3384 0.1616 0.5000  6 S 2.77-3.06
La 0.8384 0.3384 0.5000  6 S 2.77-3.06
La 0.1616 0.6616 0.5000  6 S 2.77-3.06
S 0.6547 0.1547 0.0000  2 Tc 2.74, 6 La 2.77-3.06
S 0.8453 0.6547 0.0000  2 Tc 2.74, 6 La 2.77-3.06
S 0.3453 0.8453 0.0000  2 Tc 2.74, 6 La 2.77-3.06
S 0.1547 0.3453 0.0000  2 Tc 2.74, 6 La 2.77-3.06
Tc 0.5000 0.5000 0.0000  4 S 2.74
Tc 0.0000 0.0000 0.0000  4 S 2.74

* symmetry: P4/mbm, No. 127

=====

Energies relative to the minimum, meV/atom: #a 100; #b 0